# Dy4Ho3Er8

A relaxed Dy4Ho3Er8 crystal (PBE, Alexandria via LeMat-Bulk).

a = 9.173 Å, b = 9.173 Å, c = 6.646 Å
α = 111.23°, β = 111.23°, γ = 87.93°
Atoms (fractional coordinates):
Dy1 0.000 0.000 0.000
Dy2 0.000 0.000 0.500
Dy3 0.000 0.500 0.000
Dy4 0.500 0.000 0.000
Ho1 0.000 0.500 0.500
Ho2 0.500 0.000 0.500
Ho3 0.500 0.500 0.000
Er1 0.252 0.748 0.000
Er2 0.266 0.266 0.506
Er3 0.267 0.267 0.027
Er4 0.361 0.639 0.500
Er5 0.639 0.361 0.500
Er6 0.733 0.733 0.973
Er7 0.734 0.734 0.494
Er8 0.748 0.252 0.000

Calculated values
The calculation puts the relative energy among the computed polymorphs at 263 meV/atom. The calculation puts the energy at -4.170 eV/atom. The value obtained for the density of states at the Fermi level is 29.25 states/eV per cell. As for the volume: 482.9 Å³ per cell. For the formation energy, the calculation gives 9.37 kcal/mol of atoms.